An optimized crystal structure of YEr2Th5. Source: Alexandria, functional GGA-PBE.

abc: 7.1312 14.2900 5.0232
angles: 90.00 90.00 90.00
Closest atoms and distances in Å follow each position.
Atoms (fractional coordinates):
Y 0.0000 0.0000 0.0000  4 Er 3.56, 8 Th 3.57-3.60
Y 0.5000 0.5000 0.0000  4 Er 3.56, 8 Th 3.57-3.60
Er 0.2497 0.1257 0.5000  10 Th 3.53-3.62, 2 Y 3.56
Er 0.2503 0.6257 0.5000  10 Th 3.53-3.62, 2 Y 3.56
Er 0.7497 0.3743 0.5000  10 Th 3.53-3.62, 2 Y 3.56
Er 0.7503 0.8743 0.5000  10 Th 3.53-3.62, 2 Y 3.56
Th 0.0000 0.5000 0.0000  6 Th 3.56, 2 Y 3.57, 4 Er 3.57
Th 0.0011 0.7491 0.0000  7 Th 3.52-3.57, 4 Er 3.55-3.56, 1 Y 3.59
Th 0.2448 0.3725 0.5000  6 Th 3.52-3.56, 4 Er 3.53-3.62, 2 Y 3.60
Th 0.2552 0.8725 0.5000  6 Th 3.52-3.56, 4 Er 3.53-3.62, 2 Y 3.60
Th 0.4989 0.2491 0.0000  7 Th 3.52-3.57, 4 Er 3.55-3.56, 1 Y 3.59
Th 0.5000 0.0000 0.0000  6 Th 3.56, 2 Y 3.57, 4 Er 3.57
Th 0.5011 0.7509 0.0000  7 Th 3.52-3.57, 4 Er 3.55-3.56, 1 Y 3.59
Th 0.7448 0.1275 0.5000  6 Th 3.52-3.56, 4 Er 3.53-3.62, 2 Y 3.60
Th 0.7552 0.6275 0.5000  6 Th 3.52-3.56, 4 Er 3.53-3.62, 2 Y 3.60
Th 0.9989 0.2509 0.0000  7 Th 3.52-3.57, 4 Er 3.55-3.56, 1 Y 3.59

## Properties
- Calculated formation energy: 0.40 eV/f.u.
- DOS(E_F): 25.5 states/eV per cell